First-principles (PBE) data for Se2NCl after structural relaxation, as listed in the Alexandria database.

## Properties
Polymorph energy (0 for the lowest one) ... 1.256 eV per atom
Uncorrected energy ... -2.59 eV per atom

Cell: 4.5206 4.5206 4.5206 Å, 60.00 60.00 60.00°
With the nearest neighbours (Å) after each atom.
Element x y z (fractional)
1 Se 0.2500 0.2500 0.2500  4 Cl 2.77, 4 N 2.77
2 Se 0.7500 0.7500 0.7500  4 Cl 2.77, 4 N 2.77
3 N 0.0000 0.0000 0.0000  8 Se 2.77
4 Cl 0.5000 0.5000 0.5000  8 Se 2.77